Entry from the Alexandria database: a relaxed Re3SiAg crystal (PBE).

## Properties
* offset from the most stable computed form: 9.151 eV/f.u.
* size of the total moment: 0.837 μB/atom
* uncorrected formation energy: 3.22 eV/atom

The structure in POSCAR format:
```
Re3SiAg
1.0
4.7657 0.0000 0.0000
0.0000 4.7657 0.0000
0.0000 0.0000 4.7657
Re Si Ag
3 1 1
Direct
0.0000 0.0000 0.5000
0.0000 0.5000 0.0000
0.5000 0.0000 0.0000
0.5000 0.5000 0.5000
0.0000 0.0000 0.0000
```